Record 1
Compound: ZnTe
Source: Alexandria
Functional: GGA-PBE
Structure: relaxed

- uncorrected formation energy (meV/atom) = -364
- SG = No. 62

abc: 4.486 7.238 7.591
angles: 90.00 90.00 90.00
Sites, in units of the cell vectors:
Zn  0.250  0.633  0.389
Zn  0.750  0.867  0.889
Zn  0.750  0.367  0.611
Zn  0.250  0.133  0.111
Te  0.750  0.238  0.939
Te  0.750  0.738  0.561
Te  0.250  0.262  0.439
Te  0.250  0.762  0.061

Record 2
Compound: TlSiIr
Source: Alexandria
Functional: GGA-PBE
Structure: relaxed

- uncorrected formation energy (meV/atom) = 9
- SG = No. 8

abc: 7.024 6.371 6.371
angles: 151.85 154.94 37.01
Sites, in units of the cell vectors:
Tl  0.513  0.339  0.174
Si  0.494  0.628  0.865
Ir  0.993  0.033  0.960

Record 3
Compound: V2AgCl6
Source: Alexandria
Functional: GGA-PBE
Structure: relaxed

- uncorrected formation energy (meV/atom) = -878
- SG = No. 15

abc: 6.866 8.754 8.754
angles: 83.68 81.26 81.26
Sites, in units of the cell vectors:
Cl  0.116  0.134  0.615
Cl  0.616  0.615  0.134
Cl  0.384  0.385  0.866
Cl  0.870  0.194  0.043
Cl  0.569  0.289  0.425
Cl  0.130  0.806  0.957
Cl  0.069  0.425  0.289
Cl  0.370  0.043  0.194
Cl  0.931  0.575  0.711
Cl  0.630  0.957  0.806
Cl  0.884  0.866  0.385
Cl  0.431  0.711  0.575
V  0.775  0.381  0.210
V  0.225  0.619  0.790
V  0.275  0.210  0.381
V  0.725  0.790  0.619
Ag  0.750  0.893  0.107
Ag  0.250  0.107  0.893

Record 4
Compound: Pm2Zn2CuNi5
Source: Alexandria
Functional: GGA-PBE
Structure: relaxed

- SG = No. 127
- DFT formation energy (meV per atom) = -128

abc: 3.585 9.316 9.316
angles: 90.00 90.00 90.00
Sites, in units of the cell vectors:
Pm  0.000  0.181  0.319
Pm  0.000  0.819  0.681
Pm  0.000  0.681  0.181
Pm  0.000  0.319  0.819
Zn  0.000  0.883  0.383
Zn  0.000  0.617  0.883
Zn  0.000  0.383  0.117
Zn  0.000  0.117  0.617
Ni  0.500  0.802  0.945
Ni  0.500  0.555  0.698
Ni  0.500  0.500  0.000
Ni  0.500  0.055  0.802
Ni  0.500  0.000  0.500
Ni  0.500  0.445  0.302
Ni  0.500  0.302  0.555
Ni  0.500  0.945  0.198
Ni  0.500  0.198  0.055
Ni  0.500  0.698  0.445
Cu  0.000  0.500  0.500
Cu  0.000  0.000  0.000

Record 5
Compound: Cs2BSeCl6
Source: Alexandria
Functional: GGA-PBE
Structure: relaxed

- uncorrected formation energy (meV/atom) = -852
- SG = No. 139

abc: 7.489 7.489 7.709
angles: 60.94 60.94 90.00
Sites, in units of the cell vectors:
Cs  0.750  0.250  0.500
Cs  0.250  0.750  0.500
Cl  0.216  0.216  0.567
Cl  0.688  0.688  0.000
Cl  0.312  0.688  0.000
Cl  0.688  0.312  0.000
Cl  0.312  0.312  0.000
Cl  0.784  0.784  0.433
B  0.500  0.500  0.000
Se  0.000  0.000  0.000

Record 6
Compound: Er4Rh7Pb
Source: Alexandria
Functional: GGA-PBE
Structure: relaxed

- SG = No. 12
- DFT formation energy (meV per atom) = -392

abc: 5.056 8.909 6.085
angles: 80.86 65.45 73.52
Sites, in units of the cell vectors:
Er  0.764  0.656  0.816
Er  0.407  0.780  0.406
Er  0.236  0.344  0.184
Er  0.593  0.220  0.594
Rh  0.791  0.912  0.505
Rh  0.371  0.515  0.743
Rh  0.922  0.315  0.841
Rh  0.500  0.000  0.000
Rh  0.629  0.485  0.257
Rh  0.209  0.088  0.495
Rh  0.078  0.685  0.159
Pb  0.000  0.000  0.000

Record 7
Compound: KZnNi3
Source: Alexandria
Functional: GGA-PBE
Structure: relaxed

- SG = No. 221
- DFT formation energy (meV per atom) = 1962

abc: 4.513 4.513 4.513
angles: 90.00 90.00 90.00
Sites, in units of the cell vectors:
Ni  0.000  0.000  0.500
Ni  0.500  0.000  0.000
Ni  0.000  0.500  0.000
Zn  0.500  0.500  0.500
K  0.000  0.000  0.000

Record 8
Compound: SmScRu
Source: Alexandria
Functional: GGA-PBE
Structure: relaxed

- SG = No. 11
- DFT formation energy (meV per atom) = -299

abc: 5.317 7.480 7.480
angles: 80.08 79.67 79.67
Sites, in units of the cell vectors:
Sc  0.670  0.870  0.120
Sc  0.330  0.630  0.380
Sc  0.330  0.130  0.880
Sc  0.670  0.370  0.620
Ru  0.122  0.441  0.691
Ru  0.878  0.059  0.809
Ru  0.878  0.559  0.309
Ru  0.122  0.941  0.191
Sm  0.783  0.327  0.077
Sm  0.217  0.173  0.423
Sm  0.783  0.827  0.577
Sm  0.217  0.673  0.923

Record 9
Compound: CeSm5Cd4
Source: Alexandria
Functional: GGA-PBE
Structure: relaxed

- SG = No. 123
- DFT formation energy (meV per atom) = -228

abc: 3.765 3.765 20.030
angles: 90.00 90.00 90.00
Sites, in units of the cell vectors:
Cd  0.000  0.000  0.595
Cd  0.000  0.000  0.791
Cd  0.000  0.000  0.405
Cd  0.000  0.000  0.209
Ce  0.000  0.000  0.000
Sm  0.500  0.500  0.500
Sm  0.500  0.500  0.114
Sm  0.500  0.500  0.886
Sm  0.500  0.500  0.308
Sm  0.500  0.500  0.692

Record 10
Compound: Sn2H2SO5F2
Source: Alexandria
Functional: GGA-PBE
Structure: relaxed

- SG = No. 14
- E_tot (eV/atom) = -5.48

abc: 13.232 7.193 7.374
angles: 89.57 90.00 90.00
Sites, in units of the cell vectors:
O  0.559  0.916  0.632
O  0.318  0.014  0.834
O  0.818  0.986  0.666
O  0.182  0.014  0.334
O  0.677  0.795  0.861
O  0.504  0.244  0.095
O  0.418  0.414  0.338
O  0.059  0.084  0.868
O  0.996  0.244  0.595
O  0.582  0.586  0.662
O  0.004  0.756  0.405
O  0.496  0.756  0.905
O  0.323  0.205  0.139
O  0.177  0.205  0.639
O  0.918  0.586  0.162
O  0.441  0.084  0.368
O  0.682  0.986  0.166
O  0.082  0.414  0.838
O  0.941  0.916  0.132
O  0.823  0.795  0.361
S  0.079  0.241  0.733
S  0.579  0.759  0.767
S  0.421  0.241  0.233
S  0.921  0.759  0.267
Sn  0.682  0.297  0.152
Sn  0.978  0.234  0.165
Sn  0.022  0.766  0.835
Sn  0.818  0.297  0.652
Sn  0.478  0.766  0.335
Sn  0.522  0.234  0.665
Sn  0.182  0.703  0.348
Sn  0.318  0.703  0.848
H  0.178  0.082  0.453
H  0.678  0.918  0.047
H  0.263  0.076  0.762
H  0.822  0.918  0.547
H  0.763  0.924  0.738
H  0.322  0.082  0.953
H  0.237  0.076  0.262
H  0.737  0.924  0.238
F  0.337  0.778  0.165
F  0.640  0.253  0.461
F  0.837  0.222  0.335
F  0.140  0.747  0.039
F  0.360  0.747  0.539
F  0.860  0.253  0.961
F  0.163  0.778  0.665
F  0.663  0.222  0.835

Record 11
Compound: Tb6Ge2PtSe3
Source: Alexandria
Functional: GGA-PBE
Structure: relaxed

- uncorrected formation energy (meV/atom) = -1406
- SG = No. 12

abc: 4.118 8.350 9.327
angles: 104.68 102.76 90.00
Sites, in units of the cell vectors:
Tb  0.665  0.090  0.329
Tb  0.331  0.424  0.661
Tb  0.669  0.576  0.339
Tb  0.335  0.910  0.671
Tb  0.002  0.242  0.003
Tb  0.998  0.758  0.997
Ge  0.165  0.331  0.331
Ge  0.835  0.669  0.669
Se  0.832  0.168  0.663
Se  0.168  0.832  0.337
Se  0.500  0.500  0.000
Pt  0.500  0.000  0.000

Record 12
Compound: Ti5ZnTc6
Source: Alexandria
Functional: GGA-PBE
Structure: relaxed

- SG = No. 10
- DFT formation energy (meV per atom) = -340

abc: 4.371 6.239 6.901
angles: 90.00 108.53 90.00
Sites, in units of the cell vectors:
Tc  0.166  0.252  0.335
Tc  0.166  0.748  0.335
Tc  0.834  0.748  0.665
Tc  0.500  0.743  0.000
Tc  0.834  0.252  0.665
Tc  0.500  0.257  0.000
Ti  0.000  0.500  0.000
Ti  0.337  0.000  0.673
Ti  0.335  0.500  0.668
Ti  0.663  0.000  0.327
Ti  0.665  0.500  0.332
Zn  0.000  0.000  0.000

Record 13
Compound: Mg6Zn6Cu
Source: Alexandria
Functional: GGA-PBE
Structure: relaxed

- SG = No. 191
- DFT formation energy (meV per atom) = 181

abc: 5.824 5.824 8.775
angles: 90.00 90.00 120.00
Sites, in units of the cell vectors:
Mg  0.500  0.500  0.246
Mg  0.500  0.000  0.246
Mg  0.500  0.000  0.754
Mg  0.500  0.500  0.754
Mg  0.000  0.500  0.754
Mg  0.000  0.500  0.246
Cu  0.000  0.000  0.000
Zn  0.000  0.000  0.659
Zn  0.000  0.000  0.341
Zn  0.667  0.333  0.500
Zn  0.333  0.667  0.500
Zn  0.667  0.333  0.000
Zn  0.333  0.667  0.000

Record 14
Compound: Dy4TlIr2
Source: Alexandria
Functional: GGA-PBE
Structure: relaxed

- SG = No. 166
- DFT formation energy (meV per atom) = -591

abc: 4.421 4.421 11.473
angles: 78.89 78.89 60.00
Sites, in units of the cell vectors:
Dy  0.395  0.395  0.814
Dy  0.605  0.605  0.186
Dy  0.199  0.199  0.402
Dy  0.801  0.801  0.598
Tl  0.000  0.000  0.000
Ir  0.101  0.101  0.696
Ir  0.899  0.899  0.304

Record 15
Compound: ErMgAu
Source: Alexandria
Functional: GGA-PBE
Structure: relaxed

- SG = No. 216
- DFT formation energy (meV per atom) = -518

abc: 4.765 4.765 4.765
angles: 60.00 60.00 60.00
Sites, in units of the cell vectors:
Mg  0.500  0.500  0.500
Au  0.250  0.250  0.250
Er  0.000  0.000  0.000

Record 16
Compound: CaScPCl2
Source: Alexandria
Functional: GGA-PBE
Structure: relaxed

- uncorrected formation energy (meV/atom) = -739
- SG = No. 123

abc: 4.906 4.906 5.881
angles: 90.00 90.00 90.00
Sites, in units of the cell vectors:
Cl  0.500  0.000  0.000
Cl  0.000  0.500  0.000
P  0.000  0.000  0.500
Ca  0.000  0.000  0.000
Sc  0.500  0.500  0.500

Record 17
Compound: ErSc3Al2
Source: Alexandria
Functional: GGA-PBE
Structure: relaxed

- SG = No. 12
- DFT formation energy (meV per atom) = -227

abc: 4.941 8.424 8.447
angles: 124.66 90.00 107.05
Sites, in units of the cell vectors:
Al  0.481  0.961  0.128
Al  0.767  0.534  0.132
Al  0.233  0.466  0.868
Al  0.519  0.039  0.872
Er  0.131  0.262  0.092
Er  0.869  0.738  0.908
Sc  0.692  0.384  0.395
Sc  0.385  0.769  0.312
Sc  0.308  0.616  0.605
Sc  0.061  0.121  0.407
Sc  0.615  0.231  0.688
Sc  0.939  0.879  0.593

Record 18
Compound: Nb7Au2N2
Source: Alexandria
Functional: GGA-PBE
Structure: relaxed

- uncorrected formation energy (meV/atom) = -226
- SG = No. 12

abc: 5.905 5.685 5.905
angles: 84.47 111.00 95.53
Sites, in units of the cell vectors:
Nb  0.503  0.770  0.942
Nb  0.058  0.770  0.497
Nb  0.557  0.802  0.443
Nb  0.000  0.000  0.000
Nb  0.497  0.230  0.058
Nb  0.942  0.230  0.503
Nb  0.443  0.198  0.557
Au  0.192  0.500  0.192
Au  0.808  0.500  0.808
N  0.227  0.034  0.773
N  0.773  0.966  0.227

Record 19
Compound: Zr2TiMo
Source: Alexandria
Functional: GGA-PBE
Structure: relaxed

- SG = No. 166
- DFT formation energy (meV per atom) = 223

abc: 3.205 3.205 9.161
angles: 79.93 79.93 60.00
Sites, in units of the cell vectors:
Zr  0.256  0.256  0.233
Zr  0.744  0.744  0.767
Mo  0.000  0.000  0.000
Ti  0.500  0.500  0.500

Record 20
Compound: LaBe2Tl
Source: Alexandria
Functional: GGA-PBE
Structure: relaxed

- SG = No. 44
- DFT formation energy (meV per atom) = 237

abc: 6.353 6.353 6.353
angles: 144.81 143.18 51.85
Sites, in units of the cell vectors:
La  0.524  0.524  0.000
Be  0.898  0.898  0.000
Be  0.819  0.319  0.500
Tl  0.259  0.759  0.500